This record from Alexandria via LeMat-Bulk describes crystalline NdFe3I12 at its relaxed geometry. The functional is GGA-PBE.

Cell: 15.1255 15.1255 8.1917 Å, 90.00 90.00 120.00°
Closest atoms and distances in Å follow each position.
Space group P6_3/m (No. 176)
One atom of each set of equivalent atoms:
Nd 0.3333 0.6667 0.2500 [2 per cell]  6 I 3.18
Fe 0.1207 0.4238 0.7500 [6 per cell]  4 I 2.49-2.64
I 0.0074 0.5003 0.7500 [6 per cell]  1 Fe 2.50
I 0.0254 0.2335 0.7500 [6 per cell]  1 Fe 2.49
I 0.2369 0.7601 0.0090 [12 per cell]  1 Fe 2.64

Values from the calculation:
Its density is 3.75 g/cm³. The calculation puts the magnetic moment at 30.00 Bohr magnetons per cell. As for the energy relative to the elements, uncorrected: -6.58 eV/f.u.